# 1
A plane-wave DFT calculation with PBE was carried out for an optimized crystal structure of K2CuHgAs.

Lattice parameters (Å, degrees): 6.4853 6.4853 4.4933 90.00 90.00 90.00
Closest atoms and distances in Å follow each position.
Sites, in units of the cell vectors:
K  0.0000  0.5000  0.0000  2 As 3.24
K  0.5000  0.0000  0.0000  2 As 3.24
Cu  0.0000  0.0000  0.5000  2 As 2.25
Hg  0.5000  0.5000  0.5000  8 K 3.94
As  0.0000  0.0000  0.0000  2 Cu 2.25

Computed properties:
* E_form: -16.7 kJ/mol of atoms
* ΔE to the lowest computed polymorph: 0.000 eV per atom
* calculated volume: 189.0 Å³/cell
* theoretical density: 3666 kg/m3
* space group: No. 123

***

# 2
A plane-wave DFT calculation with PBE was carried out for an optimized crystal structure of CrCdPt3.

Lattice parameters (Å, degrees): 4.9236 4.9236 4.9236 90.00 90.00 90.00
Closest atoms and distances in Å follow each position.
Sites, in units of the cell vectors:
Cr  0.0000  0.0000  0.0000  12 Pt 3.48
Cd  0.5000  0.5000  0.5000  6 Pt 2.46
Pt  0.0000  0.5000  0.5000  2 Cd 2.46
Pt  0.5000  0.0000  0.5000  2 Cd 2.46
Pt  0.5000  0.5000  0.0000  2 Cd 2.46

Computed properties:
* E_form: 133.7 kJ/mol of atoms
* ΔE to the lowest computed polymorph: 0.678 eV per atom
* calculated volume: 119.4 Å³/cell
* theoretical density: 10429 kg/m3
* space group: No. 221

***

For each record above, in turn, the calculated D(E_F) values are 0.256, 1.121 states/eV per atom.